Entry 1:
Entry from Alexandria via LeMat-Bulk: crystalline Te2RhBr at its relaxed geometry (PBE).

As for the density: 6.1 g/cm3. The calculation puts the electronic total energy at -4.19 eV per atom. The total magnetization comes out at 0.000 μB/f.u.

The structure belongs to space group C2/m (No. 12); the cell edges are 13.5919, 3.8666 and 9.2665 Å and the angles 90.00°, 102.27° and 90.00°. Symmetry generates all atoms from Te at (0.1805, 0.0000, 0.1001), Te at (0.1808, 0.0000, 0.5326), Rh at (0.1898, 0.0000, 0.8178) and Br at (0.0519, 0.5000, 0.7552).

Entry 2:
Entry from Alexandria via LeMat-Bulk: crystalline TaAgSeN2 at its relaxed geometry (PBE).

As for the density: 8.1 g/cm3. For the energy above the lowest structure with this stoichiometry, the calculation gives 40.41 kcal/mol of atoms. The calculation puts the electronic total energy at -5.00 eV per atom. The total magnetization comes out at 0.020 μB/f.u.

The structure belongs to space group P4/mmm (No. 123); the cell edges are 4.0290, 4.0290 and 5.0104 Å and the angles 90.00°, 90.00° and 90.00°. Symmetry generates all atoms from Ta at (0.0000, 0.0000, 0.0000), Ag at (0.5000, 0.5000, 0.5000), Se at (0.5000, 0.5000, 0.0000) and N at (0.0000, 0.5000, 0.5000).

Entry 3:
Entry from Alexandria via LeMat-Bulk: crystalline TaSi2Se at its relaxed geometry (PBE).

As for the density: 7.8 g/cm3. The calculation puts the electronic total energy at -6.42 eV per atom. The total magnetization comes out at 0.000 μB/f.u.

The structure belongs to space group Cm (No. 8); the cell edges are 9.1511, 3.1081 and 4.7316 Å and the angles 90.00°, 94.51° and 90.00°. Symmetry generates all atoms from Ta at (0.0000, 0.0000, 0.0000), Si at (0.2668, 0.0000, 0.7896), Si at (0.4877, 0.0000, 0.5214) and Se at (0.2121, 0.5000, 0.2431).

What are the formation energy without anion corrections values for these records? In order: -0.365 1.967 0.129 eV/atom.